# 1
First-principles (GGA-PBE) data for Ba2ReTc after structural relaxation, as listed in the Alexandria database.

Unit cell a=7.710 b=7.710 c=7.710 alpha=90.00 beta=90.00 gamma=90.00
Space group Fm-3m (No. 225)
Asymmetric unit:
Ba  0.250  0.250  0.250 (multiplicity 8)
Re  0.000  0.000  0.000 (multiplicity 4)
Tc  0.000  0.000  0.500 (multiplicity 4)

# 2
First-principles (GGA-PBE) data for Mn2GaFeC after structural relaxation, as listed in the Alexandria database.

Unit cell a=3.807 b=3.807 c=3.774 alpha=90.00 beta=90.00 gamma=90.00
Space group P4/mmm (No. 123)
Asymmetric unit:
Mn  0.000  0.500  0.000 (multiplicity 2)
Ga  0.000  0.000  0.500 (multiplicity 1)
Fe  0.500  0.500  0.500 (multiplicity 1)
C  0.500  0.500  0.000 (multiplicity 1)

no.,raw total energy (eV/atom),ΔE_f (eV/atom)
1,-5.004,1.661
2,-7.903,-0.093